(1)
# SnAsAu, relaxed, DFT PBE
# **Energy above the lowest structure with this stoichiometry**: 6 meV/atom
# **Formation energy**: -0.6 kcal/mol of atoms
data_SnAsAu
_chemical_formula_sum 'Sn4 As4 Au4'
_space_group_name_H-M_alt 'P 1'
_space_group_IT_number 1
_space_group_name_Hall 'P 1'
_cell_length_a 5.4386
_cell_length_b 5.9479
_cell_length_c 8.6540
_cell_angle_alpha 90.00
_cell_angle_beta 90.00
_cell_angle_gamma 90.00
loop_
_atom_site_label
_atom_site_fract_x
_atom_site_fract_y
_atom_site_fract_z
As1 0.2500 0.9788 0.5214
Au1 0.2500 0.6479 0.3083
Au2 0.7500 0.1479 0.1917
Sn1 0.2500 0.4587 0.6161
Sn2 0.7500 0.9587 0.8839
Au3 0.2500 0.8521 0.8083
As2 0.7500 0.4788 0.9786
Sn3 0.2500 0.0413 0.1161
As3 0.7500 0.0212 0.4786
As4 0.2500 0.5212 0.0214
Sn4 0.7500 0.5413 0.3839
Au4 0.7500 0.3521 0.6917

(2)
# SnAsAu, relaxed, DFT PBE
# **Energy above the lowest structure with this stoichiometry**: 21 meV/atom
# **Formation energy**: -0.2 kcal/mol of atoms
data_SnAsAu
_chemical_formula_sum 'Sn4 As4 Au4'
_space_group_name_H-M_alt 'P 1'
_space_group_IT_number 1
_space_group_name_Hall 'P 1'
_cell_length_a 3.6551
_cell_length_b 9.1535
_cell_length_c 8.4441
_cell_angle_alpha 90.00
_cell_angle_beta 90.00
_cell_angle_gamma 90.00
loop_
_atom_site_label
_atom_site_fract_x
_atom_site_fract_y
_atom_site_fract_z
Sn1 0.2500 0.8997 0.8383
Sn2 0.7500 0.6003 0.3383
As1 0.2500 0.4406 0.0808
Au1 0.2500 0.6953 0.5809
Sn3 0.2500 0.3997 0.6617
Au2 0.7500 0.8047 0.0809
Au3 0.2500 0.1953 0.9191
As2 0.2500 0.9406 0.4192
As3 0.7500 0.0594 0.5808
Au4 0.7500 0.3047 0.4191
As4 0.7500 0.5594 0.9192
Sn4 0.7500 0.1003 0.1617

(3)
# Sn12As5Au3, relaxed, DFT PBE
# **Formation energy**: 1.1 kcal/mol of atoms
data_Sn12As5Au3
_chemical_formula_sum 'Sn48 As20 Au12'
_space_group_name_H-M_alt 'P 1'
_space_group_IT_number 1
_space_group_name_Hall 'P 1'
_cell_length_a 14.4113
_cell_length_b 14.4113
_cell_length_c 14.4113
_cell_angle_alpha 109.47
_cell_angle_beta 109.47
_cell_angle_gamma 109.47
loop_
_atom_site_label
_atom_site_fract_x
_atom_site_fract_y
_atom_site_fract_z
Sn1 0.2332 0.5616 0.6357
Sn2 0.0741 0.9025 0.1357
As1 0.5000 0.0000 0.5000
Sn3 0.4384 0.6716 0.0741
Sn4 0.4259 0.3643 0.5975
Sn5 0.5616 0.2332 0.1357
As2 0.3750 0.2500 0.1250
Sn6 0.5741 0.6357 0.4025
Au1 0.1250 0.2500 0.8750
Au2 0.1250 0.8750 0.7500
As3 0.1250 0.7500 0.3750
As4 0.8750 0.2500 0.6250
Sn7 0.8643 0.5975 0.9259
Sn8 0.9259 0.0975 0.8643
Sn9 0.9384 0.3643 0.2668
As5 0.0000 0.5000 0.0000
Sn10 0.9025 0.0741 0.6357
Sn11 0.5975 0.7332 0.6716
Sn12 0.3284 0.7668 0.4025
As6 0.5000 0.5000 0.5000
Au3 0.2500 0.6250 0.8750
Sn13 0.9384 0.5741 0.1716
Sn14 0.7668 0.4384 0.3643
As7 0.5000 0.0000 0.0000
Sn15 0.0616 0.6357 0.7332
Sn16 0.3284 0.5616 0.4259
Sn17 0.4025 0.2668 0.3284
Sn18 0.7668 0.3284 0.9025
Sn19 0.0741 0.1716 0.4384
Sn20 0.6716 0.2332 0.5975
Sn21 0.3643 0.9384 0.7668
Sn22 0.9025 0.8284 0.7668
Sn23 0.1357 0.4025 0.0741
Au4 0.7500 0.8750 0.6250
Sn24 0.0975 0.9259 0.3643
Sn25 0.7332 0.1357 0.0616
Sn26 0.6357 0.5741 0.9025
Sn27 0.3643 0.4259 0.0975
Sn28 0.2668 0.8643 0.9384
Sn29 0.0616 0.4259 0.8284
Sn30 0.8643 0.2668 0.4384
Sn31 0.0975 0.1716 0.2332
As8 0.2500 0.8750 0.1250
Sn32 0.1357 0.7332 0.5616
As9 0.0000 0.0000 0.0000
As10 0.6250 0.7500 0.8750
Au5 0.8750 0.7500 0.1250
Sn33 0.2332 0.6716 0.0975
Sn34 0.4259 0.0616 0.3284
Sn35 0.5975 0.8643 0.4259
Au6 0.7500 0.3750 0.1250
Sn36 0.8284 0.9259 0.0616
Au7 0.6250 0.3750 0.7500
Sn37 0.1716 0.0975 0.7332
Au8 0.3750 0.6250 0.2500
As11 0.3750 0.1250 0.7500
Sn38 0.1716 0.0741 0.9384
As12 0.7500 0.6250 0.3750
Sn39 0.5741 0.9384 0.6716
As13 0.0000 0.0000 0.5000
As14 0.7500 0.1250 0.8750
Au9 0.2500 0.1250 0.3750
As15 0.8750 0.6250 0.7500
Sn40 0.2668 0.4025 0.8284
Au10 0.8750 0.1250 0.2500
As16 0.6250 0.8750 0.2500
As17 0.0000 0.5000 0.5000
Sn41 0.7332 0.5975 0.1716
As18 0.2500 0.3750 0.6250
Au11 0.3750 0.7500 0.6250
As19 0.5000 0.5000 0.0000
Sn42 0.4384 0.7668 0.8643
Sn43 0.5616 0.3284 0.9259
As20 0.1250 0.3750 0.2500
Sn44 0.6357 0.0616 0.2332
Sn45 0.9259 0.8284 0.5616
Au12 0.6250 0.2500 0.3750
Sn46 0.6716 0.4384 0.5741
Sn47 0.8284 0.9025 0.2668
Sn48 0.4025 0.1357 0.5741

(4)
# SnAs3Au, relaxed, DFT PBE
# **Energy above the lowest structure with this stoichiometry**: 0 meV/atom
# **Formation energy**: 15.8 kcal/mol of atoms
data_SnAs3Au
_chemical_formula_sum 'Sn1 As3 Au1'
_space_group_name_H-M_alt 'P 1'
_space_group_IT_number 1
_space_group_name_Hall 'P 1'
_cell_length_a 5.0845
_cell_length_b 5.0845
_cell_length_c 5.0845
_cell_angle_alpha 90.00
_cell_angle_beta 90.00
_cell_angle_gamma 90.00
loop_
_atom_site_label
_atom_site_fract_x
_atom_site_fract_y
_atom_site_fract_z
As1 0.0000 0.0000 0.5000
As2 0.0000 0.5000 0.0000
Sn1 0.5000 0.5000 0.5000
As3 0.5000 0.0000 0.0000
Au1 0.0000 0.0000 0.0000